[1]
An optimized crystal structure of Pm4SmEr10. Source: Alexandria via LeMat-Bulk, functional PBE.

Cell: 7.6746 9.4255 9.4255 Å, 80.46 65.98 65.98°
Sites, in units of the cell vectors:
Sm: 0.0000 0.0000 0.0000
Pm: 0.6002 0.1992 0.6003
Pm: 0.3998 0.8008 0.3997
Pm: 0.7995 0.6003 0.8008
Pm: 0.2005 0.3997 0.1992
Er: 0.5508 0.1003 0.2994
Er: 0.9505 0.8997 0.7006
Er: 0.8502 0.7006 0.1003
Er: 0.0495 0.1003 0.2994
Er: 0.4492 0.8997 0.7006
Er: 0.3489 0.7006 0.1003
Er: 0.2500 0.5000 0.5000
Er: 0.6511 0.2994 0.8997
Er: 0.1498 0.2994 0.8997
Er: 0.7500 0.5000 0.5000

## Properties
VASP energy (eV/atom): -3.861
Volume (Å³/f.u.): 569
Space group: I4/m (87)
D(E_F) (states/eV/cell): 23.128
Formation energy (eV per atom): 0.763



[2]
An optimized crystal structure of YbSm3S4. Source: Alexandria via LeMat-Bulk, functional PBE.

Cell: 13.2390 13.2390 13.2390 Å, 17.39 17.39 17.39°
Sites, in units of the cell vectors:
S: 0.6260 0.6260 0.6260
S: 0.1249 0.1249 0.1249
S: 0.3740 0.3740 0.3740
S: 0.8751 0.8751 0.8751
Sm: 0.5000 0.5000 0.5000
Sm: 0.2487 0.2487 0.2487
Sm: 0.7513 0.7513 0.7513
Yb: 0.0000 0.0000 0.0000

## Properties
VASP energy (eV/atom): -6.095
E_form (uncorrected) (eV/f.u.): -16.6
Volume (Å³/f.u.): 181
Space group: R-3m (166)
D(E_F) (states/eV/cell): 2.291



[3]
An optimized crystal structure of SrTaAl2. Source: Alexandria via LeMat-Bulk, functional PBE.

Cell: 5.2821 5.2821 2.9836 Å, 90.00 90.00 90.00°
Sites, in units of the cell vectors:
Ta: 0.0000 0.5000 0.5000
Al: 0.0000 0.0000 0.0000
Al: 0.5000 0.5000 0.0000
Sr: 0.5000 0.0000 0.5000

## Properties
VASP energy (eV/atom): -4.938
Volume (Å³/f.u.): 83
ΔE to the lowest computed polymorph (meV/atom): 319
Space group: P4/mmm (123)
D(E_F) (states/eV/cell): 2.326
Formation energy (eV per atom): 0.317